No. 1
Material: KBeRe
Method: DFT, PBE
State: optimized geometry

Properties
Size of the total moment, μB per cell: 0.017
Energy above the lowest structure with this stoichiometry, eV/atom: 0.000
Formation energy, eV per formula unit: 2.7
E_tot, eV for the cell shown: -14.562

Lattice parameters (Å, degrees): 6.5984 6.5984 6.5984 157.31 146.80 40.59
Last column: nearest neighbours and their distance in Å.
Fractional coordinates of all 3 atoms:
K  0.0000  0.0000  0.0000  2 K 2.60
Be  0.7193  0.7193  0.0000  4 Re 2.40, 2 Be 2.60
Re  0.2768  0.2768  0.0000  4 Be 2.40, 2 Re 2.60



No. 2
Material: KBeRe2
Method: DFT, PBE
State: optimized geometry

Properties
Size of the total moment, μB per cell: 0.000
Formation energy, eV per formula unit: 5.9
E_tot, eV for the cell shown: -23.829

Lattice parameters (Å, degrees): 5.6776 5.6776 5.6776 148.95 121.96 67.29
Last column: nearest neighbours and their distance in Å.
Fractional coordinates of all 4 atoms:
K  0.0000  0.0000  0.0000  2 K 3.04, 8 Re 3.15-3.30, 4 Be 3.16-3.38
Be  0.7073  0.2073  0.5000  2 Re 2.47
Re  0.3072  0.8072  0.5000  2 Re 2.38
Re  0.5008  0.5008  0.0000  2 Re 2.38, 2 Be 2.47